1.
Below is an optimized crystal structure of K2VCdAg, with properties calculated at the PBE level.

Structure (POSCAR):
```
K2VCdAg
1.0
-3.3603 2.3979 -4.7635
1.0213 -4.2828 -2.8763
-5.1906 -2.7628 2.2708
Ag V K Cd
1 1 2 1
Cartesian
0.0000 0.0000 0.0000
0.5106 -2.1414 -1.4382
-2.5953 -1.3814 1.1354
-1.6801 1.1989 -2.3817
-3.7648 -2.3239 -2.6845
```

## Properties
- DOS(E_F) (states/eV per atom) = 1.122
- space-group type = P4/mmm
- volume (Å³/cell) = 209
- formation energy (eV per atom) = 0.72

2.
Below is an optimized crystal structure of CaPm2As, with properties calculated at the PBE level.

Structure (POSCAR):
```
CaPm2As
1.0
-2.2118 0.2610 -3.4102
-3.4147 -0.3975 2.1843
-0.3275 6.8686 0.7381
As Pm Ca
1 2 1
Cartesian
-2.8132 -0.0683 -0.6130
-0.0722 1.5137 0.1627
-0.2553 5.3549 0.5754
-2.9770 3.3660 -0.2439
```

## Properties
- DOS(E_F) (states/eV per atom) = 1.230
- space-group type = P4/mmm
- volume (Å³/cell) = 115
- formation energy (eV per atom) = -0.47

3.
Below is an optimized crystal structure of Y3Er4Th5, with properties calculated at the PBE level.

Structure (POSCAR):
```
Y3Er4Th5
1.0
5.9360 0.0000 0.0000
2.9680 6.2858 0.9492
2.9680 5.9959 11.4221
Y Er Th
3 4 5
Cartesian
2.9680 1.8243 2.5869
2.9680 6.1409 6.1856
8.9040 10.4575 9.7844
5.9360 3.0239 4.7067
2.9680 4.9922 3.4665
8.9040 7.2895 8.9048
5.9360 9.2579 7.6646
5.9360 4.9123 1.7982
5.9360 7.3694 10.5731
5.9360 1.7521 0.8775
5.9360 10.5297 11.4938
5.9360 6.1409 6.1856
```

## Properties
- DOS(E_F) (states/eV per atom) = 1.639
- space-group type = C2/m
- volume (Å³/cell) = 392
- formation energy (eV per atom) = 0.35

4.
Below is an optimized crystal structure of Tl2VSnCl6, with properties calculated at the PBE level.

Structure (POSCAR):
```
Tl2VSnCl6
1.0
7.2605 0.0000 0.0000
0.0000 7.7099 0.0000
0.0000 0.0000 10.5240
Tl Cl Sn V
4 12 2 2
Cartesian
3.6302 6.1817 2.2540
0.0000 1.5282 3.0080
3.6302 6.1817 8.2700
0.0000 1.5282 7.5160
5.3901 0.0247 5.2620
1.8704 0.0247 5.2620
3.6302 1.7070 2.7843
3.6302 1.7070 7.7398
0.0000 6.0029 8.0463
1.8409 3.4878 5.2620
1.7893 4.2221 0.0000
5.4711 4.2221 0.0000
0.0000 6.0029 2.4778
5.4196 3.4878 5.2620
5.5006 7.6852 0.0000
1.7599 7.6852 0.0000
3.6302 2.1868 0.0000
0.0000 5.5231 5.2620
3.6302 1.7796 5.2620
0.0000 5.9303 0.0000
```

## Properties
- space-group type = Pmmn
- raw formation energy (eV/atom) = -1.02
- volume (Å³/cell) = 589

5.
Below is an optimized crystal structure of VOsRh2, with properties calculated at the PBE level.

Structure (POSCAR):
```
VOsRh2
1.0
3.8599 0.0000 0.0000
0.0000 3.7951 0.0000
0.0000 0.0000 3.7951
Rh V Os
2 1 1
Cartesian
0.0000 0.0000 1.8975
0.0000 1.8975 0.0000
1.9300 0.0000 0.0000
1.9300 1.8975 1.8975
```

## Properties
- DOS(E_F) (states/eV per atom) = 0.849
- space-group type = P4/mmm
- volume (Å³/cell) = 56
- formation energy (eV per atom) = -0.26

6.
Below is an optimized crystal structure of Cu2SbPdS4, with properties calculated at the PBE level.

Structure (POSCAR):
```
Cu2SbPdS4
1.0
-4.5348 2.9888 -0.9095
-3.0819 -4.5384 0.4785
3.3236 1.6683 5.5682
S Cu Pd Sb
4 2 1 1
Cartesian
1.6375 1.0540 4.0017
-4.3208 1.4378 0.8847
-3.5609 -2.4990 1.6106
-2.3418 0.2444 3.7765
-1.7833 -1.8224 2.9162
-2.5098 1.9412 2.2222
-0.0001 0.0001 0.0007
-3.8085 -0.7745 -0.2134
```

## Properties
- DOS(E_F) (states/eV per atom) = 0.624
- space-group type = I-42m
- raw formation energy (eV/atom) = -0.16
- volume (Å³/cell) = 165

7.
Below is an optimized crystal structure of MnCdTc, with properties calculated at the PBE level.

Structure (POSCAR):
```
MnCdTc
1.0
-0.3495 0.3436 -4.1852
1.0794 -3.2335 -2.4770
-2.9751 -2.1678 -2.0508
Mn Tc Cd
1 1 1
Cartesian
-1.6839 -3.7933 -6.5347
0.0000 0.0000 0.0000
-1.1226 -2.5289 -4.3565
```

## Properties
- DOS(E_F) (states/eV per atom) = 0.445
- space-group type = F-43m
- volume (Å³/cell) = 53
- formation energy (eV per atom) = 0.67

8.
Below is an optimized crystal structure of Ti2TcGe3, with properties calculated at the PBE level.

Structure (POSCAR):
```
Ti2TcGe3
1.0
-4.8883 -4.9214 -0.9053
5.5843 -3.4926 -1.7491
-2.4159 3.1088 5.5625
Ge Ti Tc
6 4 2
Cartesian
-1.9041 -5.5591 1.1311
-0.9489 -3.2886 0.1263
2.7922 -1.7463 -0.8745
-3.6521 -0.9063 2.3286
-0.7709 -2.0166 2.7819
0.1842 0.2538 1.7770
3.8172 -4.2732 -1.4772
0.0831 -5.6696 -0.7510
-1.8030 0.3643 3.6591
-5.5371 -1.0320 4.3854
-2.8270 -3.2682 1.9086
1.1071 -2.0370 0.9995
```

## Properties
- DOS(E_F) (states/eV per atom) = 0.728
- space-group type = C2/c
- volume (Å³/cell) = 192
- formation energy (eV per atom) = -0.28

9.
Below is an optimized crystal structure of NaInSn, with properties calculated at the PBE level.

Structure (POSCAR):
```
NaInSn
1.0
0.2632 1.7129 4.6268
-4.3007 -1.6573 -1.7798
1.7220 -7.2433 2.5837
Na In Sn
2 2 2
Cartesian
-1.2581 0.5895 2.4913
-0.3971 -3.0321 3.7831
-2.4468 -1.9330 0.8548
-1.3900 -6.3781 2.4404
1.1977 -5.0381 1.7971
0.5243 -2.2052 0.7866
```

## Properties
- DOS(E_F) (states/eV per atom) = 0.087
- space-group type = P-6m2
- volume (Å³/cell) = 167
- formation energy (eV per atom) = -0.18

10.
Below is an optimized crystal structure of Er4Cd2N, with properties calculated at the PBE level.

Structure (POSCAR):
```
Er4Cd2N
1.0
-1.3661 -1.4610 4.3345
3.5055 -3.2403 0.0126
5.6552 2.6222 5.2950
Er Cd N
4 2 1
Cartesian
-0.6831 -0.7305 2.1672
3.6441 -3.0695 5.3714
1.7528 -1.6202 0.0063
4.1505 0.9903 4.2707
2.2891 -1.0283 3.0036
5.5055 -1.0509 6.6384
0.0000 0.0000 0.0000
```

## Properties
- DOS(E_F) (states/eV per atom) = 1.050
- space-group type = I4/mmm
- raw formation energy (eV/atom) = -0.57
- volume (Å³/cell) = 170

11.
Below is an optimized crystal structure of TaBe3V, with properties calculated at the PBE level.

Structure (POSCAR):
```
TaBe3V
1.0
3.9804 0.0000 0.0000
0.0000 3.9804 0.0000
0.0000 0.0000 3.9804
Be V Ta
3 1 1
Cartesian
0.0000 0.0000 1.9902
1.9902 0.0000 0.0000
0.0000 1.9902 0.0000
0.0000 0.0000 0.0000
1.9902 1.9902 1.9902
```

## Properties
- DOS(E_F) (states/eV per atom) = 0.977
- space-group type = Pm-3m
- volume (Å³/cell) = 63
- formation energy (eV per atom) = 0.99

12.
Below is an optimized crystal structure of HfTaSe3, with properties calculated at the PBE level.

Structure (POSCAR):
```
HfTaSe3
1.0
-3.1511 -2.3288 -3.2407
-2.4794 -2.0930 3.9149
-3.1269 4.0064 0.1615
Se Ta Hf
3 1 1
Cartesian
-1.5635 2.0032 0.0808
-1.5756 -1.1644 -1.6203
-1.2397 -1.0465 1.9575
-4.3787 -0.2077 0.4179
0.0000 0.0000 0.0000
```

## Properties
- DOS(E_F) (states/eV per atom) = 0.688
- space-group type = Pm-3m
- raw formation energy (eV/atom) = 0.35
- volume (Å³/cell) = 131

no.,total energy (eV per cell)
1,-11.464
2,-18.049
3,-70.528
4,-78.253
5,-36.080
6,-35.293
7,-18.438
8,-83.417
9,-17.189
10,-32.432
11,-27.189
12,-30.521